Entry 1:
Density functional theory data (GGA-PBE) for a relaxed structure of Eu3H12Au5.

Unit cell a=12.5351 b=12.5351 c=12.5351 alpha=90.00 beta=90.00 gamma=90.00
With the nearest neighbours (Å) after each atom.
Space group Ia-3d (No. 230)
Asymmetric unit:
1 Eu 0.0000 0.2500 0.1250 x24  8 H 2.40-2.59
2 H 0.0303 0.0465 0.6475 x96  2 Au 1.84-1.98
3 Au 0.0000 0.0000 0.0000 x16  6 H 1.98
4 Au 0.0000 0.2500 0.3750 x24  4 H 1.84

Calculated values
- Raw total energy: -719.6 eV for the cell shown

=====

Entry 2:
Density functional theory data (GGA-PBE) for a relaxed structure of EuHAu.

Unit cell a=3.4599 b=3.4599 c=10.0305 alpha=90.00 beta=90.00 gamma=90.00
With the nearest neighbours (Å) after each atom.
Space group I4mm (No. 107)
Asymmetric unit:
1 Eu 0.0000 0.0000 0.0000 x2  4 H 2.48
2 H 0.0000 0.0000 0.5416 x2  1 Au 2.40, 4 Eu 2.48
3 Au 0.0000 0.0000 0.3022 x2  1 H 2.40

Calculated values
- Excess energy over the best structure of this formula in the dataset: 134 meV per atom

=====

Entry 3:
Density functional theory data (GGA-PBE) for a relaxed structure of EuHAu.

Unit cell a=12.6071 b=12.6071 c=7.9270 alpha=90.00 beta=90.00 gamma=120.00
With the nearest neighbours (Å) after each atom.
Space group R-3 (No. 148, hexagonal axes)
Asymmetric unit:
1 Eu 0.0300 0.8207 0.1771 x18  3 H 2.31-2.37
2 H 0.0253 0.8570 0.8852 x18  3 Eu 2.31-2.37, 1 Au 2.52
3 Au 0.0424 0.8145 0.5792 x18  1 H 2.52

Calculated values
- Excess energy over the best structure of this formula in the dataset: 0 meV per atom

=====

What calculated volume values result from the calculations? In sequence: 12.31 20.01 20.21 Å³ per atom.